1.
Material: U2AlNi3
Method: DFT, GGA-PBE
State: optimized geometry

Cell and atoms, written as extended XYZ:
```
6
Lattice="4.4510 0.0326 2.1272 1.3544 4.2401 2.1272 0.0443 0.0326 4.9330" Properties=species:S:1:pos:R:3 pbc="T T T"
Ni 0.0222 0.0163 2.4665
U 2.2572 1.6613 3.5451
U 3.5926 2.6440 5.6423
Ni 2.2255 0.0163 1.0636
Ni 0.6772 2.1200 1.0636
Al 0.0000 0.0000 0.0000
```

## Properties
space-group type	No. 166
energy of formation from the pure elements	-0.2841	eV/atom

=====

2.
Material: AlV8Ni2
Method: DFT, GGA-PBE
State: optimized geometry

Cell and atoms, written as extended XYZ:
```
11
Lattice="5.6468 -0.6037 -0.4581 -0.8923 5.8168 1.3037 -0.8923 2.8218 5.2509" Properties=species:S:1:pos:R:3 pbc="T T T"
V -0.1990 6.7811 5.1452
V 1.2689 5.5775 2.7514
V 4.0613 1.2538 0.9513
V -0.2380 3.4927 2.6501
Ni 0.9224 1.8246 1.3845
Al 0.0000 0.0000 0.0000
V 2.5933 3.8833 1.4659
V 1.2689 4.1516 4.6306
V 4.1003 4.5422 3.4464
Ni 2.9399 6.2103 4.7121
V 2.5933 2.4574 3.3452
```

## Properties
space-group type	No. 12
energy of formation from the pure elements	0.1018	eV/atom

=====

3.
Material: Al6VNi
Method: DFT, GGA-PBE
State: optimized geometry

Cell and atoms, written as extended XYZ:
```
8
Lattice="-2.7162 -0.8662 4.4233 3.0201 -3.9072 4.2033 3.3325 1.3563 3.8689" Properties=species:S:1:pos:R:3 pbc="T T T"
Ni 0.1520 -2.3867 4.3133
Al -0.3018 -1.1301 2.4279
Al -0.0284 -0.9141 6.0827
Al 1.6969 -2.4767 8.3931
Al 3.6649 -2.5030 6.4128
Al 1.9396 -0.9403 4.1024
V 0.0000 0.0000 0.0000
Al 0.6058 -3.6432 6.1987
```

## Properties
space-group type	No. 12
energy of formation from the pure elements	-0.1059	eV/atom

=====

4.
Material: AlVNi4
Method: DFT, GGA-PBE
State: optimized geometry

Cell and atoms, written as extended XYZ:
```
6
Lattice="4.6707 0.0000 0.0000 2.3353 4.0449 0.0000 2.3353 1.3483 3.8136" Properties=species:S:1:pos:R:3 pbc="T T T"
Ni 5.8371 3.3700 2.3830
Ni 4.6707 1.3498 2.3830
Ni 3.5043 3.3700 2.3830
Ni 4.6707 2.6966 0.4782
Al 0.0000 0.0000 0.0000
V 2.3353 1.3483 0.9534
```

## Properties
space-group type	No. 216
energy of formation from the pure elements	-0.1825	eV/atom

=====

5.
Material: AlV4Ni12
Method: DFT, GGA-PBE
State: optimized geometry

Cell and atoms, written as extended XYZ:
```
17
Lattice="-4.1737 4.8185 0.7235 -2.1042 -3.9843 -4.5672 0.5574 -3.1957 5.5351" Properties=species:S:1:pos:R:3 pbc="T T T"
Ni -1.0820 0.4855 1.8726
Ni -2.1948 -0.9836 3.3713
Ni -3.5256 -1.3779 -1.6798
Al 0.0000 0.0000 0.0000
Ni -0.4628 -2.1483 0.2896
Ni -3.3776 1.0200 2.1684
Ni -4.3995 0.5846 -2.6936
V -1.0521 -1.9921 -2.2836
Ni -2.5343 1.1373 4.3860
V -2.8602 -1.1807 0.8457
V 0.2787 -1.5978 2.7676
Ni -1.8783 0.2496 -1.1500
Ni -1.6774 -3.1843 2.0487
Ni -1.0840 -5.0317 0.6784
Ni -2.3428 -3.3814 -0.4769
V -2.0868 2.4092 0.3617
Ni -4.0430 0.8228 -0.3572
```

## Properties
space-group type	No. 229
energy of formation from the pure elements	-0.0135	eV/atom

=====

6.
Material: Al5VNi4
Method: DFT, GGA-PBE
State: optimized geometry

Cell and atoms, written as extended XYZ:
```
10
Lattice="-1.9158 -1.4622 -1.5199 2.0752 -1.6733 -1.0060 -2.0406 -9.6701 11.8747" Properties=species:S:1:pos:R:3 pbc="T T T"
Al -0.5514 -4.5583 2.4094
Ni -1.6044 -7.6030 9.3363
Ni -0.8261 -3.9149 4.8074
Al -0.9406 -6.4028 4.6744
Al -0.1638 -2.7214 0.1537
Ni -0.4362 -2.0671 2.5384
V 0.0000 0.0000 0.0000
Al -1.3298 -8.2473 6.9394
Al -1.7175 -10.0842 9.1951
Ni -1.2145 -5.7552 7.0673
```

## Properties
space-group type	No. 123
energy of formation from the pure elements	-0.5617	eV/atom

=====

7.
Material: Al2VNi
Method: DFT, GGA-PBE
State: optimized geometry

Cell and atoms, written as extended XYZ:
```
4
Lattice="2.7128 0.0000 0.0000 1.3564 2.3493 0.0000 1.3564 0.7831 9.0961" Properties=species:S:1:pos:R:3 pbc="T T T"
Al 4.0692 2.3493 2.3727
Al 1.3564 0.7831 6.7234
Ni 0.0000 0.0000 0.0000
V 2.7128 1.5662 4.5481
```

## Properties
space-group type	No. 166
energy of formation from the pure elements	0.0765	eV/atom

=====

8.
Material: Al2VNi2
Method: DFT, GGA-PBE
State: optimized geometry

Cell and atoms, written as extended XYZ:
```
10
Lattice="-4.6695 1.2652 5.1014 4.5962 -2.3271 4.7843 0.9442 2.4120 0.2661" Properties=species:S:1:pos:R:3 pbc="T T T"
Al 1.0093 -0.6639 2.4362
Ni -1.8877 1.4754 6.0646
Al -1.0826 -0.3980 7.4494
Al -2.3450 0.4849 3.9257
Ni -0.3987 1.2710 2.6336
Ni 2.7586 -0.1254 4.0871
Al 2.2716 -1.5468 5.9599
Ni 1.2696 0.0791 7.5181
V -0.0367 -0.5309 4.9428
V 0.0000 0.0000 0.0000
```

## Properties
space-group type	No. 127
energy of formation from the pure elements	-0.3354	eV/atom

=====

9.
Material: AlVNi5
Method: DFT, GGA-PBE
State: optimized geometry

Cell and atoms, written as extended XYZ:
```
14
Lattice="5.8315 -1.0538 -0.1161 0.8508 5.8645 -0.1161 2.2642 1.6301 5.2692" Properties=species:S:1:pos:R:3 pbc="T T T"
Ni 3.5740 5.6634 3.8357
Ni 4.8953 4.8492 1.7379
Ni 1.6626 2.5218 0.6644
Al 0.0000 0.0000 0.0000
Ni 3.1382 4.3912 0.0047
Ni 5.3725 0.7775 1.2012
Al 1.1321 0.8151 2.6346
Ni 5.8083 2.0497 5.0322
V 4.0438 2.6231 1.2012
Ni 7.2839 3.9191 4.3725
Ni 6.2921 2.3980 2.6393
Ni 4.0511 1.5917 3.2990
V 4.9026 3.8178 3.8357
Ni 2.6544 4.0429 2.3976
```

## Properties
space-group type	No. 15
energy of formation from the pure elements	0.1127	eV/atom

=====

10.
Material: Al3VNi4
Method: DFT, GGA-PBE
State: optimized geometry

Cell and atoms, written as extended XYZ:
```
16
Lattice="-1.9579 -2.9914 -2.0989 1.6603 -3.8030 3.8712 -6.8940 1.4430 4.3743" Properties=species:S:1:pos:R:3 pbc="T T T"
Al -3.4470 0.7215 2.1872
Al -2.7000 -1.1312 0.0468
Ni -3.9954 -1.7603 2.1415
Ni 0.2509 -4.3126 1.8180
Ni -3.9438 -1.7395 6.1447
Ni -2.4484 -5.4426 1.8655
Ni -4.7431 0.0912 4.2812
Al 0.0000 0.0000 0.0000
Al -5.3217 -2.3187 4.1643
Ni -3.2477 -3.6119 0.0019
V -2.6168 -1.1800 4.1228
Al -1.8698 -3.0327 1.9824
Ni -3.1961 -3.5911 4.0051
Al -6.1519 -0.4172 2.2287
Ni -0.5484 -2.4818 -0.0456
V 0.8302 -1.9015 1.9356
```

## Properties
space-group type	No. 51
energy of formation from the pure elements	-0.5118	eV/atom

=====

11.
Material: Al2V2Ni
Method: DFT, GGA-PBE
State: optimized geometry

Cell and atoms, written as extended XYZ:
```
10
Lattice="-1.2352 5.9070 -0.1691 -2.0426 -0.2646 5.6750 3.5744 0.7853 1.3232" Properties=species:S:1:pos:R:3 pbc="T T T"
V 1.0475 2.4126 1.4611
Ni -1.6389 2.8212 2.7529
V 0.2701 1.1139 4.3319
Al -0.9016 0.7829 1.9708
Ni 0.0000 0.0000 0.0000
V -0.7508 4.0151 5.3680
V 0.0266 5.3138 2.4971
Al -1.1037 3.7903 0.7319
Al -2.1741 1.8521 4.7739
Al -2.3762 4.8595 3.5350
```

## Properties
space-group type	No. 127
energy of formation from the pure elements	-0.0684	eV/atom